[1]
The following is a DFT calculation (PBEsol) of Dy5Ru2 after structural relaxation. Values from VASP.

Geometry as Quantum ESPRESSO input:
```
&SYSTEM
  ibrav = 0, nat = 14, ntyp = 2
/
ATOMIC_SPECIES
Dy 162.50 Dy.upf
Ru 101.07 Ru.upf
CELL_PARAMETERS angstrom
7.731 -3.118 0.000
7.731 3.118 0.000
-0.908 0.000 7.088
ATOMIC_POSITIONS crystal
Dy 0.081 0.919 0.750
Dy 0.141 0.294 0.312
Dy 0.291 0.522 0.084
Dy 0.294 0.141 0.812
Dy 0.478 0.709 0.416
Dy 0.522 0.291 0.584
Dy 0.706 0.859 0.188
Dy 0.709 0.478 0.916
Dy 0.859 0.706 0.688
Dy 0.919 0.081 0.250
Ru 0.103 0.676 0.425
Ru 0.324 0.897 0.075
Ru 0.676 0.103 0.925
Ru 0.897 0.324 0.575
```

Values from the calculation:
- energy of formation from the pure elements (eV/atom) = -0.315
- space group = C2/c (15)

***

[2]
The following is a DFT calculation (PBEsol) of Ba2Al after structural relaxation. Values from VASP.

Geometry as Quantum ESPRESSO input:
```
&SYSTEM
  ibrav = 0, nat = 3, ntyp = 2
/
ATOMIC_SPECIES
Ba 137.33 Ba.upf
Al 26.98 Al.upf
CELL_PARAMETERS angstrom
-2.085 2.085 7.215
2.085 -2.085 7.215
2.085 2.085 -7.215
ATOMIC_POSITIONS crystal
Ba 0.129 0.129 0.000
Ba 0.871 0.871 0.000
Al 0.500 0.500 0.000
```

Values from the calculation:
- energy of formation from the pure elements (eV/atom) = -0.074
- space group = I4/mmm (139)

***

[3]
The following is a DFT calculation (PBEsol) of Fe9Co7 after structural relaxation. Values from VASP.

Geometry as Quantum ESPRESSO input:
```
&SYSTEM
  ibrav = 0, nat = 16, ntyp = 2
/
ATOMIC_SPECIES
Fe 55.84 Fe.upf
Co 58.93 Co.upf
CELL_PARAMETERS angstrom
5.597 0.000 0.000
0.000 5.597 0.000
0.000 0.000 5.597
ATOMIC_POSITIONS crystal
Fe 0.000 0.000 0.000
Fe 0.250 0.250 0.250
Fe 0.250 0.250 0.750
Fe 0.250 0.750 0.250
Fe 0.250 0.750 0.750
Fe 0.750 0.250 0.250
Fe 0.750 0.250 0.750
Fe 0.750 0.750 0.250
Fe 0.750 0.750 0.750
Co 0.000 0.000 0.500
Co 0.000 0.500 0.000
Co 0.000 0.500 0.500
Co 0.500 0.000 0.000
Co 0.500 0.000 0.500
Co 0.500 0.500 0.000
Co 0.500 0.500 0.500
```

Values from the calculation:
- energy of formation from the pure elements (eV/atom) = -0.012
- space group = Pm-3m (221)

***

[4]
The following is a DFT calculation (PBEsol) of La2SbIr after structural relaxation. Values from VASP.

Geometry as Quantum ESPRESSO input:
```
&SYSTEM
  ibrav = 0, nat = 4, ntyp = 3
/
ATOMIC_SPECIES
La 138.91 La.upf
Sb 121.76 Sb.upf
Ir 192.22 Ir.upf
CELL_PARAMETERS angstrom
2.242 1.294 7.425
-2.242 1.294 7.425
0.000 -2.589 7.425
ATOMIC_POSITIONS crystal
La 0.000 0.000 0.000
La 0.169 0.169 0.169
Sb 0.745 0.745 0.745
Ir 0.431 0.431 0.431
```

Values from the calculation:
- space group = R3m (160)
- ΔE_f (raw) (eV per atom) = -0.5631

***

Number 1: Fermi-level density of states 9.410 states/eV per cell, V 171 Å³/f.u.. Number 2: Fermi-level density of states 2.107 states/eV per cell, V 125 Å³/f.u.. Number 3: Fermi-level density of states 7.837 states/eV per cell, V 175 Å³/f.u.. Number 4: Fermi-level density of states 3.479 states/eV per cell, V 129 Å³/f.u..